The following is a DFT calculation (PBE-GGA) of an optimized crystal structure of NdIn2GaPd4.

Summary:
- E_tot: -39.0 eV for the cell shown
- E_form: -0.621 eV per atom

Cell lengths 4.5816, 4.5816, 8.8962 Å; angles 75.08, 75.08, 60.00 degrees
Fractional positions:
Nd  0.0000  0.0000  0.0000
In  0.7540  0.7540  0.7379
In  0.2460  0.2460  0.2621
Ga  0.5000  0.5000  0.5000
Pd  0.4008  0.4008  0.7976
Pd  0.8659  0.8659  0.4024
Pd  0.1341  0.1341  0.5976
Pd  0.5992  0.5992  0.2024


The following is a DFT calculation (PBE-GGA) of an optimized crystal structure of Mg4ZnGa.

Summary:
- E_tot: -10.8 eV for the cell shown
- E_form: -0.023 eV per atom

Cell lengths 4.5653, 4.5640, 8.0026 Å; angles 73.40, 73.43, 59.99 degrees
Fractional positions:
Mg  0.6235  0.6244  0.1286
Mg  0.3765  0.3756  0.8714
Mg  0.1250  0.1254  0.6247
Mg  0.8750  0.8746  0.3753
Zn  0.0000  0.0000  0.0000
Ga  0.5000  0.5000  0.5000


The following is a DFT calculation (PBE-GGA) of an optimized crystal structure of Na2HgGeMo.

Summary:
- E_tot: -15.3 eV for the cell shown
- E_form: 0.623 eV per atom

Cell lengths 5.5952, 4.9362, 5.5952 Å; angles 90.00, 90.00, 90.00 degrees
Last column: magnetic moment on the atom in μB.
Fractional positions:
Na  0.0000  0.0000  0.5000  -0.01
Na  0.5000  0.0000  0.0000  -0.01
Mo  0.0000  0.5000  0.0000  2.72
Ge  0.0000  0.0000  0.0000  -0.11
Hg  0.5000  0.5000  0.5000  0.03


The following is a DFT calculation (PBE-GGA) of an optimized crystal structure of SrCeReO6.

Summary:
- E_tot: -144.6 eV for the cell shown
- Uncorrected formation energy: -2.498 eV/atom

Cell lengths 5.6636, 5.6636, 10.2960 Å; angles 90.00, 90.00, 120.00 degrees
Last column: magnetic moment on the atom in μB.
Fractional positions:
Sr  0.0000  0.0000  0.0000  0.01
Sr  0.0000  0.0000  0.5000  0.01
Ce  0.3333  0.6667  0.2500  0.38
Ce  0.6667  0.3333  0.7500  0.38
Re  0.6667  0.3333  0.2500  0.54
Re  0.3333  0.6667  0.7500  0.54
O  0.6554  0.6111  0.1455  0.01
O  0.9557  0.3446  0.1455  0.01
O  0.3446  0.9557  0.6455  0.01
O  0.0443  0.6554  0.8545  0.01
O  0.3889  0.3446  0.3545  0.01
O  0.9557  0.6111  0.3545  0.01
O  0.6111  0.9557  0.8545  0.01
O  0.6554  0.0443  0.3545  0.01
O  0.0443  0.3889  0.6455  0.01
O  0.3889  0.0443  0.1455  0.01
O  0.6111  0.6554  0.6455  0.01
O  0.3446  0.3889  0.8545  0.01


The following is a DFT calculation (PBE-GGA) of an optimized crystal structure of Na4Ce3GeS8.

Summary:
- E_tot: -84.6 eV for the cell shown
- Uncorrected formation energy: -1.494 eV/atom

Cell lengths 8.1787, 8.1155, 8.1782 Å; angles 120.29, 120.00, 90.00 degrees
Last column: magnetic moment on the atom in μB.
Fractional positions:
Na  0.5000  0.0000  0.0000  0.00
Na  0.5000  0.0000  0.5000  0.00
Na  0.0000  0.0000  0.0000  0.00
Na  0.0000  0.0000  0.5000  0.00
Ce  0.5000  0.5000  0.0000  0.68
Ce  0.5000  0.5000  0.5000  0.68
Ce  0.0000  0.5000  0.5000  0.68
Ge  0.0000  0.5000  0.0000  0.00
S  0.2412  0.7258  0.9848  -0.02
S  0.2412  0.7257  0.4823  -0.02
S  0.2551  0.2657  0.5103  -0.02
S  0.7436  0.7258  0.9848  -0.02
S  0.2564  0.2742  0.0152  -0.02
S  0.7449  0.7343  0.4897  -0.02
S  0.7588  0.2743  0.5177  -0.02
S  0.7588  0.2742  0.0152  -0.02


The following is a DFT calculation (PBE-GGA) of an optimized crystal structure of RbSnF3.

Summary:
- E_tot: -46.3 eV for the cell shown
- Uncorrected formation energy: -2.515 eV/atom

Cell lengths 4.5589, 6.5826, 7.7236 Å; angles 101.44, 106.20, 90.10 degrees
Fractional positions:
Sn  0.1180  0.9015  0.9696
Sn  0.3579  0.5225  0.4854
Rb  0.6376  0.4134  0.0109
Rb  0.8334  0.0326  0.4297
F  0.4197  0.2607  0.6062
F  0.0696  0.5842  0.8672
F  0.8398  0.4776  0.4238
F  0.2385  0.8306  0.2303
F  0.2450  0.3103  0.2312
F  0.6388  0.8795  0.0186


The highest E_tot belongs to which entry?
Mg4ZnGa


What is the formula in the fifth record?
Na4Ce3GeS8


The lowest E_tot belongs to which entry?
SrCeReO6